VASP calculation (GGA+U) on NiPIrO2 after structural relaxation.

abc: 3.4250 3.4250 6.7626
angles: 90.00 90.00 90.00
Last column: nearest neighbours and their distance in Å.
Fractional positions:
Ni  0.0000  0.0000  0.0000  4 O 1.71
P  0.0000  0.0000  0.5000  4 Ir 2.42
Ir  0.5000  0.5000  0.5000  4 P 2.42
O  0.0000  0.5000  0.0000  2 Ni 1.71
O  0.5000  0.0000  0.0000  2 Ni 1.71

Space group: P4/mmm
Calculated total energy (eV per formula unit): -24.42
Total magnetization (Bohr magnetons per cell): 1.98